The following is a GGA-PBE calculation of an optimized crystal structure of MgPaTi2, from Alexandria.

Properties
Formation energy (eV per atom): 0.154

Cell: 3.4443 3.4443 6.7859 Å, 90.00 90.00 90.00°
Space group P4/mmm (No. 123)
One atom of each set of equivalent atoms:
Mg 0.0000 0.0000 0.0000
Pa 0.0000 0.0000 0.5000
Ti 0.5000 0.5000 0.2802